No. 1
# Ba3TaFe3Si2O14, relaxed, DFT GGA-PBEsol
data_Ba3TaFe3Si2O14
_chemical_formula_sum 'Ba3 Ta1 Fe3 Si2 O14'
_symmetry_space_group_name_H-M 'P 3 2 1'
_symmetry_Int_Tables_number 150
_cell_length_a 8.5705
_cell_length_b 8.5705
_cell_length_c 5.2214
_cell_angle_alpha 90.00
_cell_angle_beta 90.00
_cell_angle_gamma 120.00
loop_
_symmetry_equiv_pos_as_xyz
'x,y,z'
'-y,x-y,z'
'-x+y,-x,z'
'y,x,-z'
'x-y,-y,-z'
'-x,-x+y,-z'
loop_
_atom_site_label
_atom_site_type_symbol
_atom_site_fract_x
_atom_site_fract_y
_atom_site_fract_z
Ba1 Ba 0.0000 0.5686 0.0000
Ta1 Ta 0.0000 0.0000 0.0000
Fe1 Fe 0.0000 0.2530 0.5000
Si1 Si 0.3333 0.6667 0.4770
O1 O 0.1038 0.8867 0.7767
O2 O 0.1762 0.4743 0.3498
O3 O 0.3333 0.6667 0.7848
# mass density = 5.2 g/cm3
# M_tot = 15.00 μB per formula unit
# formation energy without anion corrections = -2.412 eV/atom

No. 2
# Si2SbRh, relaxed, DFT GGA-PBEsol
data_Si2SbRh
_chemical_formula_sum 'Si2 Sb1 Rh1'
_symmetry_space_group_name_H-M 'P 4/m m m'
_symmetry_Int_Tables_number 123
_symmetry_space_group_name_Hall '-P 4 2'
_cell_length_a 3.036
_cell_length_b 3.036
_cell_length_c 7.163
_cell_angle_alpha 90.00
_cell_angle_beta 90.00
_cell_angle_gamma 90.00
loop_
_atom_site_label
_atom_site_type_symbol
_atom_site_fract_x
_atom_site_fract_y
_atom_site_fract_z
Si1 Si 0.000 0.000 0.194
Sb1 Sb 0.500 0.500 0.500
Rh1 Rh 0.500 0.500 0.000
# mass density = 7.1 g/cm3
# M_tot = 0.00 μB per formula unit
# formation energy without anion corrections = -0.097 eV/atom

No. 3
# Tl2GaF, relaxed, DFT GGA-PBEsol
data_Tl2GaF
_chemical_formula_sum 'Tl8 Ga4 F4'
_symmetry_space_group_name_H-M 'F m -3 m'
_symmetry_Int_Tables_number 225
_symmetry_space_group_name_Hall '-F 4 2 3'
_cell_length_a 6.889
_cell_length_b 6.889
_cell_length_c 6.889
_cell_angle_alpha 90.00
_cell_angle_beta 90.00
_cell_angle_gamma 90.00
loop_
_atom_site_label
_atom_site_type_symbol
_atom_site_fract_x
_atom_site_fract_y
_atom_site_fract_z
Tl1 Tl 0.250 0.250 0.250
Ga1 Ga 0.000 0.000 0.000
F1 F 0.000 0.000 0.500
# mass density = 10.1 g/cm3
# M_tot = 0.00 μB per formula unit
# formation energy without anion corrections = -0.549 eV/atom

No. 4
# RbZn2MoPb, relaxed, DFT GGA-PBEsol
data_RbZn2MoPb
_chemical_formula_sum 'Rb1 Zn2 Mo1 Pb1'
_symmetry_space_group_name_H-M 'P 4/m m m'
_symmetry_Int_Tables_number 123
_symmetry_space_group_name_Hall '-P 4 2'
_cell_length_a 5.483
_cell_length_b 5.483
_cell_length_c 6.209
_cell_angle_alpha 90.00
_cell_angle_beta 90.00
_cell_angle_gamma 90.00
loop_
_atom_site_label
_atom_site_type_symbol
_atom_site_fract_x
_atom_site_fract_y
_atom_site_fract_z
Rb1 Rb 0.000 0.000 0.000
Zn1 Zn 0.000 0.500 0.000
Mo1 Mo 0.500 0.500 0.500
Pb1 Pb 0.000 0.000 0.500
# energy relative to the elements = 2.10 eV per atom
# mass density = 4.6 g/cm3
# M_tot = 3.61 μB per formula unit

No. 5
# La3BeCd, relaxed, DFT GGA-PBEsol
data_La3BeCd
_chemical_formula_sum 'La3 Be1 Cd1'
_symmetry_space_group_name_H-M 'P m -3 m'
_symmetry_Int_Tables_number 221
_symmetry_space_group_name_Hall '-P 4 2 3'
_cell_length_a 5.820
_cell_length_b 5.820
_cell_length_c 5.820
_cell_angle_alpha 90.00
_cell_angle_beta 90.00
_cell_angle_gamma 90.00
loop_
_atom_site_label
_atom_site_type_symbol
_atom_site_fract_x
_atom_site_fract_y
_atom_site_fract_z
La1 La 0.000 0.000 0.500
Be1 Be 0.500 0.500 0.500
Cd1 Cd 0.000 0.000 0.000
# energy relative to the elements = 0.93 eV per atom
# mass density = 4.5 g/cm3
# M_tot = 2.40 μB per formula unit

No. 6
# CaZrBe2, relaxed, DFT GGA-PBEsol
data_CaZrBe2
_chemical_formula_sum 'Ca1 Zr1 Be2'
_symmetry_space_group_name_H-M 'P m m 2'
_symmetry_Int_Tables_number 25
_cell_length_a 3.033
_cell_length_b 3.983
_cell_length_c 5.975
_cell_angle_alpha 90.00
_cell_angle_beta 90.00
_cell_angle_gamma 90.00
loop_
_symmetry_equiv_pos_as_xyz
'x,y,z'
'-x,-y,z'
'-x,y,z'
'x,-y,z'
loop_
_atom_site_label
_atom_site_type_symbol
_atom_site_fract_x
_atom_site_fract_y
_atom_site_fract_z
Ca1 Ca 0.000 0.000 0.000
Zr1 Zr 0.500 0.500 0.359
Be1 Be 0.000 0.000 0.535
Be2 Be 0.500 0.500 0.771
# energy relative to the elements = 0.55 eV per atom
# mass density = 3.4 g/cm3
# M_tot = 0.00 μB per formula unit
# energy above the most stable polymorph in this dataset = 399.6 meV per atom

No. 7
# Y2CrSb, relaxed, DFT GGA-PBEsol
data_Y2CrSb
_chemical_formula_sum 'Y2 Cr1 Sb1'
_symmetry_space_group_name_H-M 'P 4/m m m'
_symmetry_Int_Tables_number 123
_symmetry_space_group_name_Hall '-P 4 2'
_cell_length_a 3.835
_cell_length_b 3.835
_cell_length_c 6.487
_cell_angle_alpha 90.00
_cell_angle_beta 90.00
_cell_angle_gamma 90.00
loop_
_atom_site_label
_atom_site_type_symbol
_atom_site_fract_x
_atom_site_fract_y
_atom_site_fract_z
Y1 Y 0.000 0.000 0.249
Cr1 Cr 0.500 0.500 0.000
Sb1 Sb 0.500 0.500 0.500
# mass density = 6.1 g/cm3
# M_tot = 3.16 μB per formula unit
# formation energy without anion corrections = -0.239 eV/atom

No. 8
# Ca4LaAs, relaxed, DFT GGA-PBEsol
data_Ca4LaAs
_chemical_formula_sum 'Ca16 La4 As4'
_symmetry_space_group_name_H-M 'F -4 3 m'
_symmetry_Int_Tables_number 216
_symmetry_space_group_name_Hall 'F -4 2 3'
_cell_length_a 9.386
_cell_length_b 9.386
_cell_length_c 9.386
_cell_angle_alpha 90.00
_cell_angle_beta 90.00
_cell_angle_gamma 90.00
loop_
_atom_site_label
_atom_site_type_symbol
_atom_site_fract_x
_atom_site_fract_y
_atom_site_fract_z
Ca1 Ca 0.125 0.125 0.125
La1 La 0.000 0.000 0.500
As1 As 0.250 0.250 0.750
# energy relative to the elements = 0.29 eV per atom
# mass density = 3.0 g/cm3
# M_tot = 0.54 μB per formula unit

> Number 3 is which compound?

Tl2GaF

> What is the formula in the fifth record?

La3BeCd

> Among the records above, which one has the highest mass density?

Tl2GaF